{"formula": "Y2HoTlN", "functional": "PBE-GGA", "state": "optimized geometry", "magmom_total_mub_per_fu": 0.0, "crystal_system": "tetragonal", "raw_formation_energy_mev_per_atom": -954, "lattice_angstrom": [[4.7963, 0.0000, 0.0000], [0.0000, 4.8314, 0.0000], [0.0000, 0.0000, 4.8314]], "species": ["Y", "Y", "Ho", "Tl", "N"], "fractional_positions": [[0.0000, 0.0000, 0.5000], [0.0000, 0.5000, 0.0000], [0.5000, 0.0000, 0.0000], [0.5000, 0.5000, 0.5000], [0.0000, 0.0000, 0.0000]]}

{"formula": "Sr2ReRh", "functional": "PBE-GGA", "state": "optimized geometry", "magmom_total_mub_per_fu": 2.6, "crystal_system": "tetragonal", "ef_ev_per_atom": 0.906, "lattice_angstrom": [[5.5293, 0.0045, 0.0000], [1.6090, 5.2900, 0.0000], [-3.5691, -2.6472, 3.2904]], "species": ["Re", "Rh", "Sr", "Sr"], "fractional_positions": [[0.2500, 0.7500, 0.5000], [0.7500, 0.2500, 0.5000], [0.0000, 0.0000, 0.0000], [0.5000, 0.5000, 0.0000]]}